Co2SbP | GGA-PBE | relaxed

abc: 7.8200 7.8200 7.8200
angles: 148.85 148.85 44.64
With the nearest neighbours (Å) after each atom.
Sites, in units of the cell vectors:
Co 0.0450 0.6250 0.9200  2 P 2.21
Co 0.3750 0.2950 0.4200  2 P 2.21
Co 0.7050 0.1250 0.0800  2 P 2.21
Co 0.8750 0.9550 0.5800  2 P 2.21
Sb 0.2500 0.7500 0.5000  4 Co 2.51
Sb 0.5000 0.5000 0.0000  4 Co 2.51
P 0.0000 0.0000 0.0000  4 Co 2.21
P 0.7500 0.2500 0.5000  4 Co 2.21

Calculated values
Formation energy without anion corrections (eV/f.u.): 0.0
VASP energy (eV/atom): -5.929
Spin magnetization (μB/atom): 0.185
Volume (Å³ per cell): 127.6
Energy relative to the lowest polymorph listed for this composition (meV/atom): 227.2